14
Lattice="9.773 -1.894 0.000 9.773 1.894 0.000 -2.470 0.000 8.515" Properties=species:S:1:pos:R:3 comment="PBE RbIr5Se8, optimized geometry" m_tot_mub_per_atom=0.0000 raw_formation_energy_kj_per_mol_atoms=-30.67 pbc="T T T"
Rb 0.000 0.000 0.000
Ir 1.958 0.000 3.986
Ir 1.904 0.000 7.023
Ir 8.544 0.000 4.256
Ir 15.184 0.000 1.488
Ir 15.130 0.000 4.525
Se -0.060 0.000 5.381
Se 4.300 0.000 3.005
Se 6.255 0.000 0.120
Se 6.437 0.000 5.707
Se 10.651 0.000 2.805
Se 10.833 0.000 8.392
Se 12.787 0.000 5.507
Se 17.148 0.000 3.131

***

16
Lattice="4.638 0.000 0.000 0.000 7.273 0.000 0.000 0.000 12.425" Properties=species:S:1:pos:R:3 comment="PBE Pr3Ga4Ge, optimized geometry" m_tot_mub_per_atom=0.0000 formation_energy_ev_per_atom=-0.443 pbc="T T T"
Pr 0.000 0.000 0.000
Pr 0.000 3.636 2.178
Pr 0.000 3.636 10.248
Pr 2.319 0.000 4.035
Pr 2.319 0.000 8.390
Pr 2.319 3.636 6.213
Ga 0.000 2.146 4.782
Ga 0.000 2.146 7.643
Ga 0.000 5.126 4.782
Ga 0.000 5.126 7.643
Ga 2.319 1.490 1.430
Ga 2.319 1.490 10.995
Ga 2.319 5.783 1.430
Ga 2.319 5.783 10.995
Ge 0.000 0.000 6.213
Ge 2.319 3.636 0.000